Entry from Alexandria: a relaxed NaCr2AgO8 crystal (PBE+U).

Calculated values
- VASP energy: -0.214 Ha/atom
- DOS at the Fermi energy: 6.571 states/eV per cell
- Calculated volume: 14.28 Å³ per atom

Lattice parameters (Å, degrees): 5.1185 5.1185 22.6526 90.00 90.00 120.00
Space group R-3 (No. 148, hexagonal axes)
Unique sites:
Na: 0.0000 0.0000 0.0000 x3
Cr: 0.0000 0.0000 0.2480 x6
Ag: 0.0000 0.0000 0.5000 x3
O: 0.0000 0.0000 0.3200 x6
O: 0.0052 0.6892 0.2255 x18